Entry 1:
{
  "formula": "TaAg2GeW",
  "functional": "PBE-GGA",
  "state": "optimized geometry",
  "lattice": [[4.956, 0.000, 0.000], [0.000, 4.696, 0.000], [0.000, 0.000, 4.956]],
  "species": ["W", "Ag", "Ag", "Ge", "Ta"],
  "frac_coords": [[0.000, 0.000, 0.000], [0.500, 0.000, 0.000], [0.000, 0.000, 0.500], [0.000, 0.500, 0.000], [0.500, 0.500, 0.500]],
  "ef_ev_per_atom": 1.87,
  "space_group": "P4/mmm, No. 123",
  "dft_energy_ev_per_atom": -5.15,
  "magmom_total_mub_per_fu": 0.000
}



Entry 2:
{
  "formula": "Tb2AgGe2",
  "functional": "PBE-GGA",
  "state": "optimized geometry",
  "lattice": [[7.164, 0.000, 0.000], [0.000, 7.164, 0.000], [0.000, 0.000, 8.601]],
  "species": ["Ge", "Ge", "Ge", "Ge", "Ge", "Ge", "Ge", "Ge", "Tb", "Tb", "Tb", "Tb", "Tb", "Tb", "Tb", "Tb", "Ag", "Ag", "Ag", "Ag"],
  "frac_coords": [[0.874, 0.626, 0.250], [0.374, 0.874, 0.250], [0.374, 0.874, 0.750], [0.874, 0.626, 0.750], [0.126, 0.374, 0.250], [0.626, 0.126, 0.750], [0.626, 0.126, 0.250], [0.126, 0.374, 0.750], [0.676, 0.824, 0.000], [0.324, 0.176, 0.500], [0.824, 0.324, 0.000], [0.824, 0.324, 0.500], [0.176, 0.676, 0.500], [0.324, 0.176, 0.000], [0.176, 0.676, 0.000], [0.676, 0.824, 0.500], [0.500, 0.500, 0.250], [0.500, 0.500, 0.750], [0.000, 0.000, 0.250], [0.000, 0.000, 0.750]],
  "e_above_lowest_polymorph_kj_per_mol_atoms": 0.0,
  "ef_ev_per_atom": -0.71,
  "space_group": "P4/mnc, No. 128",
  "dft_energy_ev_per_atom": -4.98,
  "magmom_total_mub_per_fu": 0.000
}



Entry 3:
{
  "formula": "TbAg3Ge3",
  "functional": "PBE-GGA",
  "state": "optimized geometry",
  "lattice": [[7.065, 0.000, 0.000], [0.000, 7.065, 0.000], [0.000, 0.000, 7.065]],
  "species": ["Ge", "Ge", "Ge", "Ge", "Ge", "Ge", "Tb", "Tb", "Ag", "Ag", "Ag", "Ag", "Ag", "Ag"],
  "frac_coords": [[0.000, 0.500, 0.750], [0.250, 0.000, 0.500], [0.500, 0.250, 0.000], [0.500, 0.750, 0.000], [0.750, 0.000, 0.500], [0.000, 0.500, 0.250], [0.000, 0.000, 0.000], [0.500, 0.500, 0.500], [0.500, 0.000, 0.750], [0.750, 0.500, 0.000], [0.500, 0.000, 0.250], [0.000, 0.250, 0.500], [0.000, 0.750, 0.500], [0.250, 0.500, 0.000]],
  "ef_ev_per_atom": 0.38,
  "space_group": "Pm-3n, No. 223",
  "dft_energy_ev_per_atom": -3.48,
  "magmom_total_mub_per_fu": 0.000
}



Entry 4:
{
  "formula": "Tb2AgGe2",
  "functional": "PBE-GGA",
  "state": "optimized geometry",
  "lattice": [[-0.742, 3.942, -1.745], [-2.092, -0.404, -5.504], [-8.732, 2.098, 2.972]],
  "species": ["Tb", "Tb", "Tb", "Tb", "Ge", "Ge", "Ge", "Ge", "Ag", "Ag"],
  "frac_coords": [[0.322, 0.679, 0.678], [0.678, 0.321, 0.322], [0.915, 0.270, 0.899], [0.085, 0.730, 0.101], [0.359, 0.172, 0.110], [0.057, 0.311, 0.575], [0.943, 0.689, 0.425], [0.641, 0.828, 0.890], [0.638, 0.081, 0.643], [0.362, 0.919, 0.357]],
  "e_above_lowest_polymorph_kj_per_mol_atoms": 3.2,
  "ef_ev_per_atom": -0.68,
  "space_group": "C2/m, No. 12",
  "dft_energy_ev_per_atom": -4.95,
  "magmom_total_mub_per_fu": 0.000
}